No. 1
## ZrScRu2 (GGA-PBE)

Data for a relaxed ZrScRu2 crystal.

Results
**Calculated formation energy**: 0.033 eV/atom
**D(E_F)**: 1.208 states/eV per atom
**Symmetry**: I-42d, No. 122

abc: 7.029 7.029 5.788
angles: 52.61 52.61 90.00
Atoms (fractional coordinates):
Sc: 0.500 0.500 0.000
Sc: 0.250 0.750 0.500
Ru: 0.625 0.125 0.250
Ru: 0.125 0.625 0.250
Ru: 0.375 0.375 0.750
Ru: 0.875 0.875 0.750
Zr: 0.000 0.000 0.000
Zr: 0.750 0.250 0.500

No. 2
## Na2CuO2 (GGA-PBE)

Data for a relaxed Na2CuO2 crystal.

Results
**Distance to the lowest polymorph of the same formula**: 0.013 eV per atom
**D(E_F)**: 0.211 states/eV per atom
**Symmetry**: Cmc2_1, No. 36

abc: 5.398 5.398 8.275
angles: 90.00 90.00 148.22
Atoms (fractional coordinates):
Na: 0.147 0.853 0.332
Na: 0.394 0.606 0.152
Na: 0.853 0.147 0.832
Na: 0.606 0.394 0.652
Cu: 0.123 0.877 0.997
Cu: 0.877 0.123 0.497
O: 0.274 0.726 0.595
O: 0.518 0.482 0.909
O: 0.482 0.518 0.409
O: 0.726 0.274 0.095

No. 3
## K4Sn5Au2 (GGA-PBE)

Data for a relaxed K4Sn5Au2 crystal.

Results
**Calculated formation energy**: -0.188 eV/atom
**D(E_F)**: 0.503 states/eV per atom
**Symmetry**: P2/m, No. 10

abc: 5.940 6.999 8.928
angles: 85.73 90.00 90.00
Atoms (fractional coordinates):
K: 0.500 0.248 0.643
K: 0.500 0.265 0.141
K: 0.500 0.752 0.357
K: 0.500 0.735 0.859
Sn: 0.000 0.677 0.090
Sn: 0.000 0.394 0.356
Sn: 0.000 0.000 0.500
Sn: 0.000 0.606 0.644
Sn: 0.000 0.323 0.910
Au: 0.000 0.949 0.824
Au: 0.000 0.051 0.176

No. 4
## PtCl4 (GGA-PBE)

Data for a relaxed PtCl4 crystal.

Results
**DFT total energy**: -3.07 eV/atom
**Symmetry**: C2/c, No. 15

abc: 6.155 7.292 7.292
angles: 64.15 92.80 92.80
Atoms (fractional coordinates):
Pt: 0.250 0.388 0.612
Pt: 0.750 0.612 0.388
Cl: 0.419 0.503 0.285
Cl: 0.081 0.715 0.497
Cl: 0.581 0.497 0.715
Cl: 0.919 0.285 0.503
Cl: 0.115 0.292 0.930
Cl: 0.385 0.070 0.708
Cl: 0.885 0.708 0.070
Cl: 0.615 0.930 0.292

no.,calculated volume (Å³/cell)
1,146.5
2,127.0
3,370.1
4,294.1